Computed, not measured: crystalline Ho2MgBe4Pt3 at its relaxed geometry at the PBE-GGA level of DFT.

```
Ho2MgBe4Pt3
1.0
3.9356 0.0000 0.0000
0.0000 3.9356 0.0000
0.0000 0.0000 10.1772
Ho Mg Be Pt
2 1 4 3
Direct
0.0000 0.5000 0.2362 Ho
0.5000 0.0000 0.7638 Ho
0.0000 0.0000 0.5000 Mg
0.0000 0.0000 0.0000 Be
0.0000 0.5000 0.6488 Be
0.5000 0.0000 0.3512 Be
0.5000 0.5000 0.0000 Be
0.0000 0.5000 0.8764 Pt
0.5000 0.0000 0.1236 Pt
0.5000 0.5000 0.5000 Pt
```

M_tot: 0.000 μB/cell
calculated formation energy: -66.0 kJ/mol of atoms
symmetry: No. 115

---

Computed, not measured: crystalline Ni2RhWN at its relaxed geometry at the PBE-GGA level of DFT.

```
Ni2RhWN
1.0
3.8316 0.0000 0.0000
0.0000 3.8316 0.0000
0.0000 0.0000 4.0331
Ni Rh W N
2 1 1 1
Direct
0.0000 0.5000 0.0000 Ni
0.5000 0.0000 0.0000 Ni
0.0000 0.0000 0.5000 Rh
0.5000 0.5000 0.5000 W
0.5000 0.5000 0.0000 N
```

M_tot: 0.000 μB/cell
symmetry: No. 123
E_form (uncorrected): -0.18 eV per formula unit

---

Computed, not measured: crystalline LiCaVTe2 at its relaxed geometry at the PBE-GGA level of DFT.

```
LiCaVTe2
1.0
5.2548 0.0000 0.0000
0.0000 5.2548 0.0000
0.0000 0.0000 4.7783
Li Ca V Te
1 1 1 2
Direct
0.0000 0.0000 0.0000 Li
0.5000 0.5000 0.0000 Ca
0.0000 0.0000 0.5000 V
0.0000 0.5000 0.5000 Te
0.5000 0.0000 0.5000 Te
```

M_tot: 0.000 μB/cell
symmetry: No. 123
E_form (uncorrected): -0.97 eV per formula unit

---

Computed, not measured: crystalline Sc2Tl2Tc at its relaxed geometry at the PBE-GGA level of DFT.

```
Sc2Tl2Tc
1.0
7.4589 0.0000 0.0000
0.0000 7.4589 0.0000
0.0000 0.0000 3.8952
Sc Tl Tc
4 4 2
Direct
0.1712 0.3288 0.0000 Sc
0.3288 0.8288 0.0000 Sc
0.6712 0.1712 0.0000 Sc
0.8288 0.6712 0.0000 Sc
0.1391 0.6391 0.5000 Tl
0.3609 0.1391 0.5000 Tl
0.6391 0.8609 0.5000 Tl
0.8609 0.3609 0.5000 Tl
0.0000 0.0000 0.5000 Tc
0.5000 0.5000 0.5000 Tc
```

M_tot: 0.000 μB/cell
calculated formation energy: 14.7 kJ/mol of atoms
symmetry: No. 127